(1)
Material: Mn3O4F2
Method: DFT, GGA-PBEsol
State: optimized geometry

Output
excess energy over the best structure of this formula in the dataset = 59 meV/atom
DFT total energy = -7.78 eV/atom

Cell: 4.465 4.465 8.560 Å, 90.19 90.19 89.99°
Positions (direct):
Mn (0.000, 0.000, 0.000)
Mn (0.033, 0.024, 0.650)
Mn (0.506, 0.494, 0.500)
Mn (0.530, 0.451, 0.839)
Mn (0.549, 0.470, 0.161)
Mn (0.976, 0.967, 0.350)
O (0.213, 0.787, 0.500)
O (0.322, 0.293, 0.666)
O (0.327, 0.279, 0.999)
O (0.707, 0.678, 0.334)
O (0.721, 0.673, 0.001)
O (0.806, 0.194, 0.500)
O (0.822, 0.177, 0.178)
O (0.823, 0.178, 0.822)
F (0.218, 0.771, 0.176)
F (0.229, 0.782, 0.824)
F (0.310, 0.277, 0.336)
F (0.723, 0.690, 0.664)

---

(2)
Material: Mn4O7F
Method: DFT, GGA-PBEsol
State: optimized geometry

Output
excess energy over the best structure of this formula in the dataset = 33 meV/atom
DFT total energy = -8.16 eV/atom

Cell: 4.347 10.732 4.837 Å, 90.00 90.41 90.00°
Positions (direct):
Mn (0.000, 0.066, 0.000)
Mn (0.000, 0.934, 0.500)
Mn (0.026, 0.425, 0.492)
Mn (0.026, 0.575, 0.992)
Mn (0.523, 0.179, 0.472)
Mn (0.523, 0.821, 0.972)
Mn (0.533, 0.333, 0.991)
Mn (0.533, 0.667, 0.491)
O (0.241, 0.058, 0.321)
O (0.241, 0.942, 0.821)
O (0.256, 0.443, 0.822)
O (0.256, 0.557, 0.322)
O (0.289, 0.308, 0.313)
O (0.289, 0.692, 0.813)
O (0.747, 0.192, 0.153)
O (0.747, 0.808, 0.653)
O (0.752, 0.307, 0.660)
O (0.752, 0.693, 0.160)
O (0.773, 0.058, 0.662)
O (0.773, 0.942, 0.162)
O (0.793, 0.445, 0.162)
O (0.793, 0.555, 0.662)
F (0.271, 0.190, 0.819)
F (0.271, 0.810, 0.319)

---

(3)
Material: Mn4O7F
Method: DFT, GGA-PBEsol
State: optimized geometry

Output
excess energy over the best structure of this formula in the dataset = 0 meV/atom
DFT total energy = -8.20 eV/atom

Cell: 7.171 7.171 4.286 Å, 90.42 90.42 95.82°
Positions (direct):
Mn (0.000, 0.000, 0.000)
Mn (0.121, 0.391, 0.976)
Mn (0.251, 0.749, 0.500)
Mn (0.346, 0.141, 0.483)
Mn (0.505, 0.495, 0.000)
Mn (0.609, 0.879, 0.024)
Mn (0.754, 0.246, 0.500)
Mn (0.859, 0.654, 0.517)
O (0.035, 0.797, 0.270)
O (0.075, 0.596, 0.726)
O (0.152, 0.182, 0.228)
O (0.203, 0.965, 0.730)
O (0.290, 0.541, 0.231)
O (0.326, 0.345, 0.758)
O (0.404, 0.925, 0.274)
O (0.459, 0.710, 0.769)
O (0.533, 0.290, 0.269)
O (0.655, 0.674, 0.242)
O (0.710, 0.467, 0.731)
O (0.786, 0.042, 0.237)
O (0.818, 0.848, 0.772)
O (0.958, 0.214, 0.763)
F (0.561, 0.087, 0.764)
F (0.913, 0.439, 0.236)

---

(4)
Material: Mn3O4F2
Method: DFT, GGA-PBEsol
State: optimized geometry

Output
excess energy over the best structure of this formula in the dataset = 3 meV/atom
DFT total energy = -7.83 eV/atom

Cell: 5.391 5.419 6.867 Å, 73.98 73.63 75.74°
Positions (direct):
Mn (0.000, 0.000, 0.000)
Mn (0.000, 0.000, 0.500)
Mn (0.305, 0.346, 0.174)
Mn (0.311, 0.359, 0.666)
Mn (0.689, 0.641, 0.334)
Mn (0.695, 0.654, 0.826)
O (0.035, 0.652, 0.664)
O (0.087, 0.120, 0.703)
O (0.217, 0.247, 0.964)
O (0.428, 0.435, 0.373)
O (0.572, 0.565, 0.627)
O (0.783, 0.753, 0.036)
O (0.913, 0.880, 0.297)
O (0.965, 0.348, 0.336)
F (0.328, 0.712, 0.983)
F (0.390, 0.947, 0.332)
F (0.610, 0.053, 0.668)
F (0.672, 0.288, 0.017)

---

(5)
Material: Mn3OF5
Method: DFT, GGA-PBEsol
State: optimized geometry

Output
excess energy over the best structure of this formula in the dataset = 10 meV/atom
DFT total energy = -7.02 eV/atom

Cell: 5.759 5.759 7.320 Å, 106.07 106.07 73.85°
Positions (direct):
Mn (0.000, 0.000, 0.000)
Mn (0.003, 0.003, 0.521)
Mn (0.317, 0.317, 0.856)
Mn (0.333, 0.333, 0.330)
Mn (0.645, 0.645, 0.178)
Mn (0.659, 0.659, 0.678)
O (0.105, 0.105, 0.810)
O (0.417, 0.417, 0.126)
F (0.021, 0.637, 0.840)
F (0.247, 0.247, 0.554)
F (0.298, 0.696, 0.498)
F (0.356, 0.961, 0.186)
F (0.538, 0.538, 0.864)
F (0.637, 0.021, 0.840)
F (0.696, 0.298, 0.498)
F (0.766, 0.766, 0.475)
F (0.891, 0.891, 0.208)
F (0.961, 0.356, 0.186)

---

(6)
Material: Mn4O7F
Method: DFT, GGA-PBEsol
State: optimized geometry

Output
excess energy over the best structure of this formula in the dataset = 34 meV/atom
DFT total energy = -8.16 eV/atom

Cell: 6.900 6.900 4.837 Å, 90.32 90.32 101.84°
Positions (direct):
Mn (0.069, 0.931, 0.500)
Mn (0.084, 0.439, 0.460)
Mn (0.432, 0.578, 0.969)
Mn (0.439, 0.084, 0.960)
Mn (0.578, 0.432, 0.469)
Mn (0.589, 0.926, 0.481)
Mn (0.926, 0.589, 0.981)
Mn (0.931, 0.069, 0.000)
O (0.061, 0.678, 0.651)
O (0.065, 0.178, 0.319)
O (0.178, 0.065, 0.819)
O (0.178, 0.564, 0.139)
O (0.330, 0.445, 0.638)
O (0.445, 0.330, 0.138)
O (0.445, 0.831, 0.801)
O (0.563, 0.677, 0.302)
O (0.564, 0.178, 0.639)
O (0.677, 0.563, 0.802)
O (0.678, 0.061, 0.151)
O (0.831, 0.445, 0.301)
O (0.831, 0.944, 0.663)
O (0.944, 0.831, 0.163)
F (0.323, 0.943, 0.304)
F (0.943, 0.323, 0.804)

---

(7)
Material: Mn6OF11
Method: DFT, GGA-PBEsol
State: optimized geometry

Output
excess energy over the best structure of this formula in the dataset = 8 meV/atom
DFT total energy = -6.89 eV/atom

Cell: 4.865 5.742 15.840 Å, 90.02 90.28 90.90°
Positions (direct):
Mn (0.002, 0.341, 0.253)
Mn (0.006, 0.328, 0.916)
Mn (0.015, 0.661, 0.410)
Mn (0.474, 0.803, 0.257)
Mn (0.481, 0.170, 0.417)
Mn (0.492, 0.833, 0.912)
Mn (0.508, 0.167, 0.088)
Mn (0.519, 0.830, 0.583)
Mn (0.526, 0.197, 0.743)
Mn (0.985, 0.339, 0.590)
Mn (0.994, 0.672, 0.084)
Mn (0.998, 0.659, 0.747)
O (0.205, 0.584, 0.304)
O (0.795, 0.416, 0.696)
F (0.212, 0.379, 0.141)
F (0.220, 0.387, 0.481)
F (0.235, 0.606, 0.975)
F (0.243, 0.622, 0.643)
F (0.249, 0.092, 0.307)
F (0.250, 0.403, 0.810)
F (0.261, 0.894, 0.799)
F (0.267, 0.888, 0.475)
F (0.270, 0.101, 0.975)
F (0.279, 0.886, 0.142)
F (0.289, 0.119, 0.637)
F (0.711, 0.881, 0.363)
F (0.721, 0.114, 0.858)
F (0.730, 0.899, 0.025)
F (0.733, 0.112, 0.525)
F (0.739, 0.106, 0.201)
F (0.750, 0.597, 0.190)
F (0.751, 0.908, 0.693)
F (0.757, 0.378, 0.357)
F (0.765, 0.394, 0.025)
F (0.780, 0.613, 0.519)
F (0.788, 0.621, 0.859)

---

(8)
Material: Mn2O3F
Method: DFT, GGA-PBEsol
State: optimized geometry

Output
excess energy over the best structure of this formula in the dataset = 33 meV/atom
DFT total energy = -7.94 eV/atom

Cell: 5.376 4.486 9.881 Å, 90.00 96.38 90.00°
Positions (direct):
Mn (0.000, 0.000, 0.000)
Mn (0.000, 0.500, 0.500)
Mn (0.245, 0.019, 0.739)
Mn (0.245, 0.481, 0.239)
Mn (0.500, 0.000, 0.500)
Mn (0.500, 0.500, 0.000)
Mn (0.755, 0.519, 0.761)
Mn (0.755, 0.981, 0.261)
O (0.017, 0.697, 0.675)
O (0.017, 0.803, 0.175)
O (0.226, 0.195, 0.571)
O (0.226, 0.305, 0.071)
O (0.485, 0.196, 0.329)
O (0.485, 0.304, 0.829)
O (0.515, 0.696, 0.171)
O (0.515, 0.804, 0.671)
O (0.774, 0.695, 0.929)
O (0.774, 0.805, 0.429)
O (0.983, 0.197, 0.825)
O (0.983, 0.303, 0.325)
F (0.284, 0.695, 0.416)
F (0.284, 0.805, 0.916)
F (0.716, 0.195, 0.084)
F (0.716, 0.305, 0.584)

---

(9)
Material: Mn6O5F7
Method: DFT, GGA-PBEsol
State: optimized geometry

Output
excess energy over the best structure of this formula in the dataset = 30 meV/atom
DFT total energy = -7.40 eV/atom

Cell: 5.595 5.595 7.170 Å, 107.04 107.04 73.04°
Positions (direct):
Mn (0.000, 0.000, 0.000)
Mn (0.009, 0.009, 0.495)
Mn (0.318, 0.318, 0.851)
Mn (0.365, 0.365, 0.334)
Mn (0.650, 0.650, 0.651)
Mn (0.679, 0.679, 0.166)
O (0.095, 0.095, 0.792)
O (0.315, 0.697, 0.493)
O (0.447, 0.447, 0.132)
O (0.697, 0.315, 0.493)
O (0.904, 0.904, 0.201)
F (0.000, 0.374, 0.176)
F (0.002, 0.627, 0.819)
F (0.250, 0.250, 0.536)
F (0.374, 0.000, 0.176)
F (0.550, 0.550, 0.865)
F (0.627, 0.002, 0.819)
F (0.775, 0.775, 0.467)

---

(10)
Material: Mn3O4F2
Method: DFT, GGA-PBEsol
State: optimized geometry

Output
excess energy over the best structure of this formula in the dataset = 4 meV/atom
DFT total energy = -7.83 eV/atom

Cell: 5.443 5.443 7.356 Å, 110.59 110.59 69.35°
Positions (direct):
Mn (0.000, 0.000, 0.000)
Mn (0.002, 0.002, 0.520)
Mn (0.343, 0.343, 0.838)
Mn (0.349, 0.349, 0.340)
Mn (0.667, 0.667, 0.189)
Mn (0.683, 0.683, 0.660)
O (0.036, 0.645, 0.343)
O (0.307, 0.700, 0.013)
O (0.371, 0.978, 0.675)
O (0.575, 0.575, 0.383)
O (0.645, 0.036, 0.343)
O (0.700, 0.307, 0.013)
O (0.903, 0.903, 0.714)
O (0.978, 0.371, 0.675)
F (0.112, 0.112, 0.303)
F (0.236, 0.236, 0.038)
F (0.454, 0.454, 0.647)
F (0.764, 0.764, 0.966)

---

(11)
Material: Mn3OF5
Method: DFT, GGA-PBEsol
State: optimized geometry

Output
excess energy over the best structure of this formula in the dataset = 9 meV/atom
DFT total energy = -7.02 eV/atom

Cell: 4.816 3.166 14.391 Å, 90.00 92.65 90.00°
Positions (direct):
Mn (0.000, 0.000, 0.000)
Mn (0.018, 0.000, 0.673)
Mn (0.474, 0.500, 0.824)
Mn (0.500, 0.500, 0.500)
Mn (0.526, 0.500, 0.176)
Mn (0.982, 0.000, 0.327)
O (0.305, 0.000, 0.767)
O (0.695, 0.000, 0.233)
F (0.191, 0.500, 0.269)
F (0.194, 0.500, 0.598)
F (0.204, 0.500, 0.938)
F (0.293, 0.000, 0.430)
F (0.310, 0.000, 0.107)
F (0.690, 0.000, 0.893)
F (0.707, 0.000, 0.570)
F (0.796, 0.500, 0.062)
F (0.806, 0.500, 0.402)
F (0.809, 0.500, 0.731)

---

(12)
Material: Mn2O3F
Method: DFT, GGA-PBEsol
State: optimized geometry

Output
excess energy over the best structure of this formula in the dataset = 0 meV/atom
DFT total energy = -7.97 eV/atom

Cell: 5.369 5.369 8.543 Å, 92.47 92.47 74.87°
Positions (direct):
Mn (0.000, 0.000, 0.000)
Mn (0.136, 0.115, 0.626)
Mn (0.300, 0.200, 0.251)
Mn (0.405, 0.345, 0.875)
Mn (0.546, 0.454, 0.500)
Mn (0.655, 0.595, 0.125)
Mn (0.800, 0.700, 0.749)
Mn (0.885, 0.864, 0.374)
O (0.000, 0.947, 0.778)
O (0.053, 0.000, 0.222)
O (0.091, 0.413, 0.750)
O (0.246, 0.199, 0.029)
O (0.315, 0.239, 0.474)
O (0.508, 0.437, 0.279)
O (0.563, 0.492, 0.721)
O (0.587, 0.909, 0.250)
O (0.715, 0.285, 0.000)
O (0.761, 0.685, 0.526)
O (0.801, 0.754, 0.971)
O (0.835, 0.165, 0.500)
F (0.226, 0.774, 0.500)
F (0.308, 0.692, 0.000)
F (0.482, 0.002, 0.744)
F (0.998, 0.518, 0.256)

---

Number 1: density of states at the Fermi level 0.746 states/eV/atom. Number 2: density of states at the Fermi level 0.249 states/eV/atom. Number 3: density of states at the Fermi level 0.192 states/eV/atom. Number 4: density of states at the Fermi level 0.132 states/eV/atom. Number 5: density of states at the Fermi level 0.231 states/eV/atom. Number 6: density of states at the Fermi level 0.200 states/eV/atom. Number 7: density of states at the Fermi level 0.186 states/eV/atom. Number 8: density of states at the Fermi level 0.191 states/eV/atom. Number 9: density of states at the Fermi level 0.225 states/eV/atom. Number 10: density of states at the Fermi level 0.183 states/eV/atom. Number 11: density of states at the Fermi level 0.221 states/eV/atom. Number 12: density of states at the Fermi level 0.157 states/eV/atom.